# BaNaZnF6

A geometry-optimized BaNaZnF6 structure (PBE-GGA, Alexandria).

a b c (Å): 7.2304 7.2304 7.2304
angles (deg): 118.88 117.80 92.90
Closest atoms and distances in Å follow each position.
Sites, in units of the cell vectors:
1 Ba 0.4025 0.1525 0.2500  5 F 2.58-2.74
2 Ba 0.5975 0.8475 0.7500  5 F 2.58-2.74
3 Na 0.0000 0.0000 0.5000  8 F 2.33-2.60
4 Na 0.0000 0.5000 0.0000  8 F 2.33-2.60
5 Zn 0.0000 0.5000 0.5000  6 F 1.96-2.02
6 Zn 0.5000 0.5000 0.0000  6 F 1.96-2.02
7 F 0.1437 0.8937 0.2500  2 Na 2.33, 1 Ba 2.58
8 F 0.1724 0.4224 0.7500  2 Zn 2.02
9 F 0.1907 0.4507 0.3710  1 Zn 1.96
10 F 0.1907 0.8197 0.7400  1 Zn 1.96
11 F 0.4203 0.1803 0.8710  1 Zn 1.96
12 F 0.4203 0.5493 0.2400  1 Zn 1.96
13 F 0.5797 0.4507 0.7600  1 Zn 1.96
14 F 0.5797 0.8197 0.1290  1 Zn 1.96
15 F 0.8093 0.1803 0.2600  1 Zn 1.96
16 F 0.8093 0.5493 0.6290  1 Zn 1.96
17 F 0.8276 0.5776 0.2500  2 Zn 2.02
18 F 0.8563 0.1063 0.7500  2 Na 2.33, 1 Ba 2.58


# BaNa2ZnF

A geometry-optimized BaNa2ZnF structure (PBE-GGA, Alexandria).

a b c (Å): 4.8412 4.8412 5.7233
angles (deg): 90.00 90.00 90.00
Closest atoms and distances in Å follow each position.
Sites, in units of the cell vectors:
1 Ba 0.0000 0.0000 0.0000  2 F 2.86
2 Na 0.0000 0.5000 0.5000  2 F 2.42
3 Na 0.5000 0.0000 0.5000  2 F 2.42
4 Zn 0.5000 0.5000 0.0000  4 Ba 3.42, 8 Na 3.75
5 F 0.0000 0.0000 0.5000  4 Na 2.42


# BaNaZn2F8

A geometry-optimized BaNaZn2F8 structure (PBE-GGA, Alexandria).

a b c (Å): 7.1073 7.1073 7.1073
angles (deg): 132.76 132.76 69.03
Closest atoms and distances in Å follow each position.
Sites, in units of the cell vectors:
1 Ba 0.0000 0.0000 0.0000  8 F 2.64-2.71
2 Na 0.2500 0.7500 0.5000  8 F 2.51-2.57
3 Zn 0.5000 0.5000 0.0000  4 F 1.91
4 Zn 0.7500 0.2500 0.5000  4 F 1.90
5 F 0.2774 0.6756 0.1121  1 Zn 1.91
6 F 0.3244 0.4365 0.6018  1 Zn 1.91
7 F 0.4316 0.0075 0.0833  1 Zn 1.90
8 F 0.5635 0.1653 0.8879  1 Zn 1.91
9 F 0.6517 0.5684 0.5758  1 Zn 1.90
10 F 0.8347 0.7226 0.3982  1 Zn 1.91
11 F 0.9241 0.3483 0.9167  1 Zn 1.90
12 F 0.9925 0.0759 0.4242  1 Zn 1.90


# Ba2NaZnF

A geometry-optimized Ba2NaZnF structure (PBE-GGA, Alexandria).

a b c (Å): 5.7651 5.7651 4.6493
angles (deg): 90.00 90.00 90.00
Closest atoms and distances in Å follow each position.
Sites, in units of the cell vectors:
1 Ba 0.0000 0.5000 0.0000  2 F 2.88
2 Ba 0.5000 0.0000 0.0000  2 F 2.88
3 Na 0.0000 0.0000 0.5000  2 F 2.32
4 Zn 0.5000 0.5000 0.5000  8 Ba 3.70, 4 Na 4.08
5 F 0.0000 0.0000 0.0000  2 Na 2.32


Number 1: formation energy from raw total energies -2.67 eV per atom, spin magnetization 2.1 Bohr magnetons per cell, DOS at the Fermi energy 17.9 states/eV per cell. Number 2: formation energy from raw total energies -1.03 eV per atom, spin magnetization 0.0 Bohr magnetons per cell, DOS at the Fermi energy 1.8 states/eV per cell. Number 3: formation energy from raw total energies -2.55 eV per atom, spin magnetization 1.2 Bohr magnetons per cell, DOS at the Fermi energy 7.2 states/eV per cell. Number 4: formation energy from raw total energies -1.10 eV per atom, spin magnetization 0.0 Bohr magnetons per cell, DOS at the Fermi energy 2.9 states/eV per cell.